[1]
Below is a relaxed Hf2TcGe crystal, with properties calculated at the PBE-GGA level.

It has space group I-42d (No. 122), with a = 7.369 Å, b = 7.369 Å, c = 5.705 Å, α = 90.00°, β = 90.00° and γ = 90.00°. The asymmetric unit holds Hf at (0.231, 0.250, 0.125), Tc at (0.000, 0.000, 0.000) and Ge at (0.000, 0.000, 0.500).

The total moment is 0.00 μB per formula unit. The value obtained for the uncorrected energy is -136.614 eV per cell.

---

[2]
Below is a relaxed Hf2TcGe2 crystal, with properties calculated at the PBE-GGA level.

It has space group P4/mbm (No. 127), with a = 6.645 Å, b = 6.645 Å, c = 3.934 Å, α = 90.00°, β = 90.00° and γ = 90.00°. The asymmetric unit holds Hf at (0.172, 0.328, 0.000), Tc at (0.000, 0.000, 0.500) and Ge at (0.135, 0.635, 0.500).

The total moment is 0.32 μB per formula unit. The offset from the most stable computed form comes out at 0.000 eV/atom. The value obtained for the uncorrected energy is -85.267 eV per cell.

---

[3]
Below is a relaxed Hf2TcGe crystal, with properties calculated at the PBE-GGA level.

It has space group R-3m (No. 166, hexagonal axes), with a = 3.2313 Å, b = 3.2313 Å, c = 25.2227 Å, α = 90.00°, β = 90.00° and γ = 120.00°. The asymmetric unit holds Hf at (0.0000, 0.0000, 0.2453), Tc at (0.0000, 0.0000, 0.5000) and Ge at (0.0000, 0.0000, 0.0000).

The total moment is 0.00 μB per formula unit. The value obtained for the uncorrected energy is -107.620 eV per cell.

---

[4]
Below is a relaxed Hf3Tc2Ge3 crystal, with properties calculated at the PBE-GGA level.

It has space group P6_3/mcm (No. 193), with a = 7.7437 Å, b = 7.7437 Å, c = 5.2767 Å, α = 90.00°, β = 90.00° and γ = 120.00°. The asymmetric unit holds Hf at (0.0000, 0.2505, 0.2500), Tc at (0.3333, 0.6667, 0.0000) and Ge at (0.0000, 0.3958, 0.7500).

The total moment is 0.00 μB per formula unit. The value obtained for the uncorrected energy is -136.808 eV per cell.

---

[5]
Below is a relaxed HfTc2Ge crystal, with properties calculated at the PBE-GGA level.

It has space group I-42d (No. 122), with a = 7.011 Å, b = 7.011 Å, c = 5.725 Å, α = 90.00°, β = 90.00° and γ = 90.00°. The asymmetric unit holds Hf at (0.000, 0.000, 0.000), Tc at (0.207, 0.750, 0.625) and Ge at (0.000, 0.000, 0.500).

The total moment is 0.00 μB per formula unit. The value obtained for the uncorrected energy is -135.466 eV per cell.

---

[6]
Below is a relaxed HfTc6Ge8 crystal, with properties calculated at the PBE-GGA level.

It has space group R-3 (No. 148, hexagonal axes), with a = 8.7374 Å, b = 8.7374 Å, c = 12.0505 Å, α = 90.00°, β = 90.00° and γ = 120.00°. The asymmetric unit holds Hf at (0.0000, 0.0000, 0.0000), Tc at (0.0318, 0.8406, 0.4064), Ge at (0.0000, 0.0000, 0.2311) and Ge at (0.0143, 0.3011, 0.0861).

The total moment is 0.00 μB per formula unit. The value obtained for the uncorrected energy is -325.761 eV per cell.

---

[7]
Below is a relaxed Hf6Tc5Ge crystal, with properties calculated at the PBE-GGA level.

It has space group Immm (No. 71), with a = 4.601 Å, b = 6.626 Å, c = 13.843 Å, α = 90.00°, β = 90.00° and γ = 90.00°. The asymmetric unit holds Hf at (0.000, 0.238, 0.000), Hf at (0.000, 0.255, 0.330), Tc at (0.000, 0.000, 0.168), Tc at (0.000, 0.500, 0.162), Tc at (0.000, 0.500, 0.500) and Ge at (0.000, 0.000, 0.500).

The total moment is 0.00 μB per formula unit. The value obtained for the uncorrected energy is -244.653 eV per cell.

---

[8]
Below is a relaxed HfTcGe2 crystal, with properties calculated at the PBE-GGA level.

It has space group Fm-3m (No. 225), with a = 6.401 Å, b = 6.401 Å, c = 6.401 Å, α = 90.00°, β = 90.00° and γ = 90.00°. The asymmetric unit holds Hf at (0.000, 0.000, 0.000), Tc at (0.000, 0.000, 0.500) and Ge at (0.250, 0.250, 0.250).

The total moment is 0.00 μB per formula unit. The offset from the most stable computed form comes out at 0.063 eV/atom. The value obtained for the uncorrected energy is -121.681 eV per cell.

---

[9]
Below is a relaxed HfTc2Ge2 crystal, with properties calculated at the PBE-GGA level.

It has space group I4/mmm (No. 139), with a = 4.383 Å, b = 4.383 Å, c = 9.263 Å, α = 90.00°, β = 90.00° and γ = 90.00°. The asymmetric unit holds Hf at (0.000, 0.000, 0.000), Tc at (0.000, 0.000, 0.378) and Ge at (0.000, 0.500, 0.250).

The total moment is 0.00 μB per formula unit. The offset from the most stable computed form comes out at 0.296 eV/atom. The value obtained for the uncorrected energy is -79.400 eV per cell.

---

[10]
Below is a relaxed HfTc2Ge4 crystal, with properties calculated at the PBE-GGA level.

It has space group I4/mmm (No. 139), with a = 4.952 Å, b = 4.952 Å, c = 12.694 Å, α = 90.00°, β = 90.00° and γ = 90.00°. The asymmetric unit holds Hf at (0.000, 0.000, 0.000), Tc at (0.000, 0.000, 0.408), Ge at (0.000, 0.000, 0.213) and Ge at (0.000, 0.500, 0.000).

The total moment is 0.00 μB per formula unit. The value obtained for the uncorrected energy is -88.819 eV per cell.

---

[11]
Below is a relaxed Hf2TcGe4 crystal, with properties calculated at the PBE-GGA level.

It has space group I4/mmm (No. 139), with a = 4.804 Å, b = 4.804 Å, c = 13.147 Å, α = 90.00°, β = 90.00° and γ = 90.00°. The asymmetric unit holds Hf at (0.000, 0.000, 0.109), Tc at (0.000, 0.000, 0.500), Ge at (0.000, 0.000, 0.309) and Ge at (0.000, 0.500, 0.000).

The total moment is 0.00 μB per formula unit. The offset from the most stable computed form comes out at 0.436 eV/atom. The value obtained for the uncorrected energy is -94.323 eV per cell.

---

[12]
Below is a relaxed HfTcGe2 crystal, with properties calculated at the PBE-GGA level.

It has space group R-3m (No. 166, hexagonal axes), with a = 4.2234 Å, b = 4.2234 Å, c = 13.1370 Å, α = 90.00°, β = 90.00° and γ = 120.00°. The asymmetric unit holds Hf at (0.0000, 0.0000, 0.0000), Tc at (0.0000, 0.0000, 0.5000) and Ge at (0.0000, 0.0000, 0.2295).

The total moment is 0.00 μB per formula unit. The offset from the most stable computed form comes out at 0.008 eV/atom. The value obtained for the uncorrected energy is -91.931 eV per cell.